This record from Alexandria via LeMat-Bulk describes an optimized crystal structure of CaMn2S4. The functional is PBE.

## Properties
As for the uncorrected formation energy: -874 meV/atom. The calculation puts the energy relative to the lowest polymorph listed for this composition at 41 meV/atom. The uncorrected energy is -6.139 eV/atom. The calculation puts the total magnetization at 32.000 μB/cell.

Cell: 6.864 6.864 13.253 Å, 90.00 90.00 90.00°
Space group I4_1/amd (No. 141, origin choice 2)
Inequivalent atoms, fractional coordinates:
Ca: 0.000 0.250 0.375
Mn: 0.000 0.000 0.000
S: 0.000 0.021 0.773